Entry 1:
Computed, not measured: crystalline Er6Tl2Hg at its relaxed geometry at the PBE level of DFT.

Cell: 8.8509 8.8509 8.8509 Å, 146.39 131.90 59.95°
Fractional coordinates of all 9 atoms:
Er1 0.0818 0.3358 0.7460
Er2 0.2415 0.0000 0.2415
Er3 0.4102 0.6642 0.7460
Er4 0.5898 0.3358 0.2540
Er5 0.7585 0.0000 0.7585
Er6 0.9182 0.6642 0.2540
Tl1 0.3335 0.8335 0.5000
Tl2 0.6665 0.1665 0.5000
Hg1 0.0000 0.5000 0.5000

Calculated values
DOS(E_F) = 1.209 states/eV per atom
Calculated formation energy = -55 meV/atom
Theoretical density = 9.46 g cm⁻³

Entry 2:
Computed, not measured: crystalline Ba5Ca2H12 at its relaxed geometry at the PBE level of DFT.

Cell: 7.7523 7.7523 8.4304 Å, 104.68 104.68 53.71°
Fractional coordinates of all 19 atoms:
Ba1 0.0000 0.0000 0.0000
Ba2 0.2900 0.2900 0.6477
Ba3 0.3070 0.3070 0.1378
Ba4 0.6930 0.6930 0.8622
Ba5 0.7100 0.7100 0.3523
Ca1 0.2419 0.7581 0.5000
Ca2 0.7581 0.2419 0.5000
H1 0.0492 0.0492 0.3531
H2 0.0986 0.5914 0.9122
H3 0.1277 0.5392 0.4092
H4 0.4086 0.9014 0.0878
H5 0.4608 0.8723 0.5908
H6 0.4950 0.4950 0.6751
H7 0.5050 0.5050 0.3249
H8 0.5392 0.1277 0.4092
H9 0.5914 0.0986 0.9122
H10 0.8723 0.4608 0.5908
H11 0.9014 0.4086 0.0878
H12 0.9508 0.9508 0.6469

Calculated values
DOS(E_F) = 0.214 states/eV per atom
Total DFT energy (no corrections) = -62.340 eV/cell
Theoretical density = 3.30 g cm⁻³

Entry 3:
Computed, not measured: crystalline PmY2Ho6 at its relaxed geometry at the PBE level of DFT.

Cell: 5.6062 3.4905 14.8158 Å, 90.00 100.85 90.00°
Fractional coordinates of all 9 atoms:
Pm1 0.0000 0.0000 0.0000
Y1 0.3331 0.0000 0.6662
Y2 0.6669 0.0000 0.3338
Ho1 0.1123 0.5000 0.2242
Ho2 0.2228 0.5000 0.4454
Ho3 0.4434 0.5000 0.8875
Ho4 0.5566 0.5000 0.1125
Ho5 0.7772 0.5000 0.5546
Ho6 0.8877 0.5000 0.7758

Calculated values
DOS(E_F) = 1.760 states/eV per atom
Calculated formation energy = 70 meV/atom
Theoretical density = 7.65 g cm⁻³

Entry 4:
Computed, not measured: crystalline TaAsPdSe2 at its relaxed geometry at the PBE level of DFT.

Cell: 4.9661 4.9661 5.0321 Å, 90.00 90.00 90.00°
Fractional coordinates of all 5 atoms:
Ta1 0.0000 0.0000 0.0000
As1 0.0000 0.0000 0.5000
Pd1 0.5000 0.5000 0.5000
Se1 0.0000 0.5000 0.0000
Se2 0.5000 0.0000 0.0000

Calculated values
DOS(E_F) = 1.065 states/eV per atom
Energy relative to the lowest polymorph listed for this composition = 0.000 eV/atom
Theoretical density = 6.96 g cm⁻³

Entry 5:
Computed, not measured: crystalline Ce3Al12Pt5 at its relaxed geometry at the PBE level of DFT.

Cell: 13.6734 13.6734 13.6734 Å, 109.47 109.47 109.47°
Fractional coordinates of all 80 atoms:
Ce1 0.1250 0.2500 0.3750
Ce2 0.1250 0.3750 0.7500
Ce3 0.2500 0.3750 0.1250
Ce4 0.2500 0.8750 0.6250
Ce5 0.3750 0.1250 0.2500
Ce6 0.3750 0.7500 0.1250
Ce7 0.6250 0.2500 0.8750
Ce8 0.6250 0.8750 0.7500
Ce9 0.7500 0.1250 0.3750
Ce10 0.7500 0.6250 0.8750
Ce11 0.8750 0.6250 0.2500
Ce12 0.8750 0.7500 0.6250
Al1 0.0079 0.6924 0.0629
Al2 0.0079 0.8156 0.9451
Al3 0.0549 0.5629 0.8705
Al4 0.0549 0.9921 0.1844
Al5 0.0629 0.0079 0.6924
Al6 0.0629 0.5549 0.3705
Al7 0.1295 0.6844 0.6924
Al8 0.1295 0.9451 0.4371
Al9 0.1844 0.0549 0.9921
Al10 0.1844 0.6295 0.1924
Al11 0.1924 0.1844 0.6295
Al12 0.1924 0.5079 0.5629
Al13 0.3076 0.8705 0.3156
Al14 0.3076 0.9371 0.9921
Al15 0.3156 0.3076 0.8705
Al16 0.3156 0.5079 0.4451
Al17 0.3705 0.0629 0.5549
Al18 0.3705 0.8076 0.8156
Al19 0.4371 0.1295 0.9451
Al20 0.4371 0.8076 0.4921
Al21 0.4451 0.3156 0.5079
Al22 0.4451 0.6295 0.9371
Al23 0.4921 0.4371 0.8076
Al24 0.4921 0.5549 0.6844
Al25 0.5079 0.4451 0.3156
Al26 0.5079 0.5629 0.1924
Al27 0.5549 0.3705 0.0629
Al28 0.5549 0.6844 0.4921
Al29 0.5629 0.1924 0.5079
Al30 0.5629 0.8705 0.0549
Al31 0.6295 0.1924 0.1844
Al32 0.6295 0.9371 0.4451
Al33 0.6844 0.4921 0.5549
Al34 0.6844 0.6924 0.1295
Al35 0.6924 0.0629 0.0079
Al36 0.6924 0.1295 0.6844
Al37 0.8076 0.4921 0.4371
Al38 0.8076 0.8156 0.3705
Al39 0.8156 0.3705 0.8076
Al40 0.8156 0.9451 0.0079
Al41 0.8705 0.0549 0.5629
Al42 0.8705 0.3156 0.3076
Al43 0.9371 0.4451 0.6295
Al44 0.9371 0.9921 0.3076
Al45 0.9451 0.0079 0.8156
Al46 0.9451 0.4371 0.1295
Al47 0.9921 0.1844 0.0549
Al48 0.9921 0.3076 0.9371
Pt1 0.0000 0.0000 0.0000
Pt2 0.0000 0.0000 0.5000
Pt3 0.0000 0.5000 0.0000
Pt4 0.0000 0.5000 0.5000
Pt5 0.1250 0.7500 0.8750
Pt6 0.1250 0.8750 0.2500
Pt7 0.2500 0.1250 0.8750
Pt8 0.2500 0.6250 0.3750
Pt9 0.3750 0.2500 0.6250
Pt10 0.3750 0.6250 0.7500
Pt11 0.5000 0.0000 0.0000
Pt12 0.5000 0.0000 0.5000
Pt13 0.5000 0.5000 0.0000
Pt14 0.5000 0.5000 0.5000
Pt15 0.6250 0.3750 0.2500
Pt16 0.6250 0.7500 0.3750
Pt17 0.7500 0.3750 0.6250
Pt18 0.7500 0.8750 0.1250
Pt19 0.8750 0.1250 0.7500
Pt20 0.8750 0.2500 0.1250

Calculated values
DOS(E_F) = 1.544 states/eV per atom
Calculated formation energy = -213 meV/atom
Theoretical density = 5.80 g cm⁻³

Entry 6:
Computed, not measured: crystalline TiAsBr2F at its relaxed geometry at the PBE level of DFT.

Cell: 4.9180 4.9180 5.0601 Å, 90.00 90.00 90.00°
Fractional coordinates of all 5 atoms:
Ti1 0.0000 0.0000 0.0000
As1 0.0000 0.0000 0.5000
Br1 0.0000 0.5000 0.0000
Br2 0.5000 0.0000 0.0000
F1 0.5000 0.5000 0.5000

Calculated values
DOS(E_F) = 0.692 states/eV per atom
Energy relative to the lowest polymorph listed for this composition = 0.000 eV/atom
Theoretical density = 4.09 g cm⁻³

Entry 7:
Computed, not measured: crystalline Ga3SnPb at its relaxed geometry at the PBE level of DFT.

Cell: 9.1513 6.4366 8.8632 Å, 90.00 110.03 90.00°
Fractional coordinates of all 20 atoms:
Ga1 0.0629 0.1839 0.4572
Ga2 0.0629 0.3161 0.9572
Ga3 0.2527 0.0223 0.1049
Ga4 0.2527 0.4777 0.6049
Ga5 0.3719 0.1118 0.4337
Ga6 0.3719 0.3882 0.9337
Ga7 0.6281 0.6118 0.0663
Ga8 0.6281 0.8882 0.5663
Ga9 0.7473 0.5223 0.3951
Ga10 0.7473 0.9777 0.8951
Ga11 0.9371 0.6839 0.0428
Ga12 0.9371 0.8161 0.5428
Sn1 0.1327 0.7161 0.8499
Sn2 0.1327 0.7839 0.3499
Sn3 0.8673 0.2161 0.6501
Sn4 0.8673 0.2839 0.1501
Pb1 0.3990 0.5170 0.2852
Pb2 0.3990 0.9830 0.7852
Pb3 0.6010 0.0170 0.2148
Pb4 0.6010 0.4830 0.7148

Calculated values
DOS(E_F) = 0.354 states/eV per atom
Calculated formation energy = 56 meV/atom
Energy relative to the lowest polymorph listed for this composition = 0.000 eV/atom
Theoretical density = 7.25 g cm⁻³

Entry 8:
Computed, not measured: crystalline MgScIn2 at its relaxed geometry at the PBE level of DFT.

Cell: 5.8863 5.8863 4.5587 Å, 112.73 112.73 40.10°
Fractional coordinates of all 4 atoms:
Mg1 0.0000 0.0000 0.0000
Sc1 0.2471 0.2471 0.7460
In1 0.4996 0.4996 0.4998
In2 0.7515 0.7515 0.2503

Calculated values
DOS(E_F) = 0.860 states/eV per atom
Calculated formation energy = -225 meV/atom
Theoretical density = 5.35 g cm⁻³

Copy entry 5 word for word.
Computed, not measured: crystalline Ce3Al12Pt5 at its relaxed geometry at the PBE level of DFT.

Cell: 13.6734 13.6734 13.6734 Å, 109.47 109.47 109.47°
Fractional coordinates of all 80 atoms:
Ce1 0.1250 0.2500 0.3750
Ce2 0.1250 0.3750 0.7500
Ce3 0.2500 0.3750 0.1250
Ce4 0.2500 0.8750 0.6250
Ce5 0.3750 0.1250 0.2500
Ce6 0.3750 0.7500 0.1250
Ce7 0.6250 0.2500 0.8750
Ce8 0.6250 0.8750 0.7500
Ce9 0.7500 0.1250 0.3750
Ce10 0.7500 0.6250 0.8750
Ce11 0.8750 0.6250 0.2500
Ce12 0.8750 0.7500 0.6250
Al1 0.0079 0.6924 0.0629
Al2 0.0079 0.8156 0.9451
Al3 0.0549 0.5629 0.8705
Al4 0.0549 0.9921 0.1844
Al5 0.0629 0.0079 0.6924
Al6 0.0629 0.5549 0.3705
Al7 0.1295 0.6844 0.6924
Al8 0.1295 0.9451 0.4371
Al9 0.1844 0.0549 0.9921
Al10 0.1844 0.6295 0.1924
Al11 0.1924 0.1844 0.6295
Al12 0.1924 0.5079 0.5629
Al13 0.3076 0.8705 0.3156
Al14 0.3076 0.9371 0.9921
Al15 0.3156 0.3076 0.8705
Al16 0.3156 0.5079 0.4451
Al17 0.3705 0.0629 0.5549
Al18 0.3705 0.8076 0.8156
Al19 0.4371 0.1295 0.9451
Al20 0.4371 0.8076 0.4921
Al21 0.4451 0.3156 0.5079
Al22 0.4451 0.6295 0.9371
Al23 0.4921 0.4371 0.8076
Al24 0.4921 0.5549 0.6844
Al25 0.5079 0.4451 0.3156
Al26 0.5079 0.5629 0.1924
Al27 0.5549 0.3705 0.0629
Al28 0.5549 0.6844 0.4921
Al29 0.5629 0.1924 0.5079
Al30 0.5629 0.8705 0.0549
Al31 0.6295 0.1924 0.1844
Al32 0.6295 0.9371 0.4451
Al33 0.6844 0.4921 0.5549
Al34 0.6844 0.6924 0.1295
Al35 0.6924 0.0629 0.0079
Al36 0.6924 0.1295 0.6844
Al37 0.8076 0.4921 0.4371
Al38 0.8076 0.8156 0.3705
Al39 0.8156 0.3705 0.8076
Al40 0.8156 0.9451 0.0079
Al41 0.8705 0.0549 0.5629
Al42 0.8705 0.3156 0.3076
Al43 0.9371 0.4451 0.6295
Al44 0.9371 0.9921 0.3076
Al45 0.9451 0.0079 0.8156
Al46 0.9451 0.4371 0.1295
Al47 0.9921 0.1844 0.0549
Al48 0.9921 0.3076 0.9371
Pt1 0.0000 0.0000 0.0000
Pt2 0.0000 0.0000 0.5000
Pt3 0.0000 0.5000 0.0000
Pt4 0.0000 0.5000 0.5000
Pt5 0.1250 0.7500 0.8750
Pt6 0.1250 0.8750 0.2500
Pt7 0.2500 0.1250 0.8750
Pt8 0.2500 0.6250 0.3750
Pt9 0.3750 0.2500 0.6250
Pt10 0.3750 0.6250 0.7500
Pt11 0.5000 0.0000 0.0000
Pt12 0.5000 0.0000 0.5000
Pt13 0.5000 0.5000 0.0000
Pt14 0.5000 0.5000 0.5000
Pt15 0.6250 0.3750 0.2500
Pt16 0.6250 0.7500 0.3750
Pt17 0.7500 0.3750 0.6250
Pt18 0.7500 0.8750 0.1250
Pt19 0.8750 0.1250 0.7500
Pt20 0.8750 0.2500 0.1250

Calculated values
DOS(E_F) = 1.544 states/eV per atom
Calculated formation energy = -213 meV/atom
Theoretical density = 5.80 g cm⁻³

- Among the records above, which one has the lowest theoretical density?
  Ba5Ca2H12

- The lowest theoretical density belongs to which entry?
  Ba5Ca2H12

- Among the records above, which one has the highest DOS(E_F)?
  PmY2Ho6